No. 1
Y2TmUN4 | PBE-GGA | optimized geometry

Summary:
* D(E_F): 4.40 states/eV/f.u.
* E_form (uncorrected): -1643 meV/atom
* VASP energy: -9.392 eV per atom
* V: 14.5 A^3/atom

```
data_Y2TmUN4
_cell_length_a 5.946
_cell_length_b 3.447
_cell_length_c 5.964
_cell_angle_alpha 90.00
_cell_angle_beta 108.97
_cell_angle_gamma 90.00
_symmetry_space_group_name_H-M 'P 1 2/m 1'
_symmetry_Int_Tables_number 10
_symmetry_space_group_name_Hall '-P 2y'
loop_
_atom_site_label
_atom_site_type_symbol
_atom_site_fract_x
_atom_site_fract_y
_atom_site_fract_z
_atom_site_occupancy
Y1 Y 0.000 0.000 0.000 1
Y2 Y 0.500 0.500 0.000 1
Tm1 Tm 0.000 0.500 0.500 1
U1 U 0.500 0.000 0.500 1
N1 N 0.258 0.000 0.733 1
N2 N 0.258 0.500 0.263 1
```

---

No. 2
Tm2ZrUN4 | PBE-GGA | optimized geometry

Summary:
* D(E_F): 5.32 states/eV/f.u.
* E_form (uncorrected): -1673 meV/atom
* VASP energy: -9.433 eV per atom
* V: 13.5 A^3/atom

```
data_Tm2ZrUN4
_cell_length_a 5.817
_cell_length_b 3.364
_cell_length_c 5.843
_cell_angle_alpha 90.00
_cell_angle_beta 109.00
_cell_angle_gamma 90.00
_symmetry_space_group_name_H-M 'P 1 2/m 1'
_symmetry_Int_Tables_number 10
_symmetry_space_group_name_Hall '-P 2y'
loop_
_atom_site_label
_atom_site_type_symbol
_atom_site_fract_x
_atom_site_fract_y
_atom_site_fract_z
_atom_site_occupancy
Tm1 Tm 0.000 0.000 0.000 1
Tm2 Tm 0.500 0.500 0.000 1
Zr1 Zr 0.000 0.500 0.500 1
U1 U 0.500 0.000 0.500 1
N1 N 0.250 0.000 0.737 1
N2 N 0.251 0.500 0.257 1
```

---

No. 3
TmZrU2N4 | PBE-GGA | optimized geometry

Summary:
* D(E_F): 8.96 states/eV/f.u.
* E_form (uncorrected): -1541 meV/atom
* VASP energy: -10.153 eV per atom
* V: 13.7 A^3/atom

```
data_TmZrU2N4
_cell_length_a 5.834
_cell_length_b 3.359
_cell_length_c 5.926
_cell_angle_alpha 90.00
_cell_angle_beta 109.11
_cell_angle_gamma 90.00
_symmetry_space_group_name_H-M 'P 1 2/m 1'
_symmetry_Int_Tables_number 10
_symmetry_space_group_name_Hall '-P 2y'
loop_
_atom_site_label
_atom_site_type_symbol
_atom_site_fract_x
_atom_site_fract_y
_atom_site_fract_z
_atom_site_occupancy
Tm1 Tm 0.000 0.000 0.000 1
Zr1 Zr 0.500 0.500 0.000 1
U1 U 0.000 0.500 0.500 1
U2 U 0.500 0.000 0.500 1
N1 N 0.254 0.500 0.246 1
N2 N 0.257 0.000 0.757 1
```

---

No. 4
TmVN3 | PBE-GGA | optimized geometry

Summary:
* D(E_F): 3.13 states/eV/f.u.
* E_form (uncorrected): -866 meV/atom
* VASP energy: -8.580 eV per atom
* V: 14.3 A^3/atom

```
data_TmVN3
_cell_length_a 5.493
_cell_length_b 3.540
_cell_length_c 7.848
_cell_angle_alpha 90.00
_cell_angle_beta 110.31
_cell_angle_gamma 90.00
_symmetry_space_group_name_H-M 'P 1 21/m 1'
_symmetry_Int_Tables_number 11
_symmetry_space_group_name_Hall '-P 2yb'
loop_
_atom_site_label
_atom_site_type_symbol
_atom_site_fract_x
_atom_site_fract_y
_atom_site_fract_z
_atom_site_occupancy
Tm1 Tm 0.230 0.250 0.187 1
V1 V 0.159 0.250 0.675 1
N1 N 0.006 0.750 0.617 1
N2 N 0.083 0.250 0.882 1
N3 N 0.491 0.250 0.733 1
```

---

No. 5
TmWN2 | PBE-GGA | optimized geometry

Summary:
* D(E_F): 1.12 states/eV/f.u.
* E_form (uncorrected): -942 meV/atom
* VASP energy: -9.461 eV per atom
* V: 11.6 A^3/atom

```
data_TmWN2
_cell_length_a 3.1986
_cell_length_b 3.1986
_cell_length_c 15.7090
_cell_angle_alpha 90.00
_cell_angle_beta 90.00
_cell_angle_gamma 120.00
_symmetry_space_group_name_H-M 'R -3 m'
_symmetry_Int_Tables_number 166
_symmetry_space_group_name_Hall '-R 3 2"'
loop_
_atom_site_label
_atom_site_type_symbol
_atom_site_fract_x
_atom_site_fract_y
_atom_site_fract_z
_atom_site_occupancy
Tm1 Tm 0.0000 0.0000 0.0000 1
W1 W 0.0000 0.0000 0.5000 1
N1 N 0.0000 0.0000 0.2437 1
```

---

No. 6
Tm2WN4 | PBE-GGA | optimized geometry

Summary:
* E_form (uncorrected): -1132 meV/atom
* distance to the lowest polymorph of the same formula: 0.14 eV/f.u.
* VASP energy: -9.017 eV per atom
* V: 15.0 A^3/atom

```
data_Tm2WN4
_cell_length_a 5.745
_cell_length_b 5.938
_cell_length_c 6.441
_cell_angle_alpha 90.00
_cell_angle_beta 107.47
_cell_angle_gamma 90.00
_symmetry_space_group_name_H-M 'P 1 21/m 1'
_symmetry_Int_Tables_number 11
_symmetry_space_group_name_Hall '-P 2yb'
loop_
_atom_site_label
_atom_site_type_symbol
_atom_site_fract_x
_atom_site_fract_y
_atom_site_fract_z
_atom_site_occupancy
Tm1 Tm 0.164 0.250 0.026 1
Tm2 Tm 0.240 0.250 0.557 1
W1 W 0.288 0.750 0.814 1
N1 N 0.052 0.511 0.753 1
N2 N 0.481 0.750 0.099 1
N3 N 0.495 0.250 0.348 1
```

---

Number 1: M_tot 1.47 μB/f.u.. Number 2: M_tot 0.76 μB/f.u.. Number 3: M_tot 2.92 μB/f.u.. Number 4: M_tot 0.00 μB/f.u.. Number 5: M_tot 0.00 μB/f.u.. Number 6: M_tot 0.00 μB/f.u..